(A)
A geometry-optimized Rb3SbI6 structure. Source: Alexandria, functional PBE-GGA.

The value obtained for the spin magnetization is 0.00 μB per atom. The volume is 50.6 Å³/atom.

Cell: 8.667 9.332 15.136 Å, 90.00 124.26 90.00°
Sites, in units of the cell vectors:
1 Rb 0.000 0.000 0.000
2 Rb 0.000 0.500 0.500
3 Rb 0.213 0.086 0.747
4 Rb 0.213 0.414 0.247
5 Rb 0.787 0.586 0.753
6 Rb 0.787 0.914 0.253
7 Sb 0.500 0.000 0.500
8 Sb 0.500 0.500 0.000
9 I 0.156 0.172 0.443
10 I 0.156 0.328 0.943
11 I 0.268 0.724 0.428
12 I 0.268 0.776 0.928
13 I 0.405 0.049 0.275
14 I 0.405 0.451 0.775
15 I 0.595 0.549 0.225
16 I 0.595 0.951 0.725
17 I 0.732 0.224 0.072
18 I 0.732 0.276 0.572
19 I 0.844 0.672 0.057
20 I 0.844 0.828 0.557

(B)
A geometry-optimized Rb3SbI6 structure. Source: Alexandria, functional PBE-GGA.

The value obtained for the spin magnetization is 0.00 μB per atom. The volume is 54.7 Å³/atom.

Cell: 9.181 9.181 9.181 Å, 60.00 60.00 60.00°
Sites, in units of the cell vectors:
1 Rb 0.000 0.000 0.000
2 Rb 0.250 0.250 0.250
3 Rb 0.750 0.750 0.750
4 Sb 0.500 0.500 0.500
5 I 0.267 0.267 0.733
6 I 0.267 0.733 0.267
7 I 0.267 0.733 0.733
8 I 0.733 0.267 0.267
9 I 0.733 0.267 0.733
10 I 0.733 0.733 0.267

Pick (A): it beats the second-best structure by 71 meV/atom.

(A)
A geometry-optimized Ba3GeSb structure. Source: Alexandria, functional PBE-GGA.

The value obtained for the spin magnetization is 0.00 μB per atom. The volume is 47.8 Å³/atom.

Cell: 6.206 6.206 6.206 Å, 90.00 90.00 90.00°
Sites, in units of the cell vectors:
1 Ba 0.000 0.000 0.500
2 Ba 0.000 0.500 0.000
3 Ba 0.500 0.000 0.000
4 Ge 0.000 0.000 0.000
5 Sb 0.500 0.500 0.500

(B)
A geometry-optimized Ba3GeSb structure. Source: Alexandria, functional PBE-GGA.

The value obtained for the spin magnetization is 0.16 μB per atom. The volume is 41.7 Å³/atom.

Cell: 9.575 9.575 9.741 Å, 94.69 94.69 27.97°
Sites, in units of the cell vectors:
1 Ba 0.000 0.000 0.000
2 Ba 0.153 0.153 0.618
3 Ba 0.366 0.366 0.758
4 Ba 0.519 0.519 0.377
5 Ba 0.713 0.713 0.017
6 Ba 0.806 0.806 0.359
7 Ge 0.544 0.544 0.745
8 Ge 0.976 0.976 0.633
9 Sb 0.150 0.150 0.260
10 Sb 0.368 0.368 0.117

Pick (B): it beats the second-best structure by 265 meV/atom.